Entry 1:
PaSnOs, optimized geometry, DFT PBE; total energy = -7.555 eV per atom; space group = F-43m (216); magnetization = 0.0015 μB/atom
1.0
0.0000 3.3122 3.3122
3.3122 0.0000 3.3122
3.3122 3.3122 0.0000
Pa Sn Os
1 1 1
direct
0.0000 0.0000 0.0000 Pa
0.7500 0.7500 0.7500 Sn
0.5000 0.5000 0.5000 Os

Entry 2:
PaTeOs, optimized geometry, DFT PBE; relative energy among the computed polymorphs = 0 meV/atom; space group = F-43m (216); magnetization = 0.0991 μB/atom
1.0
0.0000 3.4204 3.4204
3.4204 0.0000 3.4204
3.4204 3.4204 0.0000
Pa Te Os
1 1 1
direct
0.0000 0.0000 0.0000 Pa
0.2500 0.2500 0.2500 Te
0.7500 0.7500 0.7500 Os

Entry 3:
PaTeOs, optimized geometry, DFT PBE; relative energy among the computed polymorphs = 152 meV/atom; space group = F-43m (216); magnetization = 0.2044 μB/atom
1.0
0.0000 3.3305 3.3305
3.3305 0.0000 3.3305
3.3305 3.3305 0.0000
Pa Te Os
1 1 1
direct
0.0000 0.0000 0.0000 Pa
0.7500 0.7500 0.7500 Te
0.5000 0.5000 0.5000 Os

Entry 4:
PaTlOs, optimized geometry, DFT PBE; relative energy among the computed polymorphs = 188 meV/atom; space group = F-43m (216); magnetization = 0.6322 μB/atom
1.0
0.0000 3.3451 3.3451
3.3451 0.0000 3.3451
3.3451 3.3451 0.0000
Pa Tl Os
1 1 1
direct
0.0000 0.0000 0.0000 Pa
0.7500 0.7500 0.7500 Tl
0.5000 0.5000 0.5000 Os

Entry 5:
PaTlOs, optimized geometry, DFT PBE; relative energy among the computed polymorphs = 0 meV/atom; space group = F-43m (216); magnetization = 0.0003 μB/atom
1.0
0.0000 3.4005 3.4005
3.4005 0.0000 3.4005
3.4005 3.4005 0.0000
Pa Tl Os
1 1 1
direct
0.0000 0.0000 0.0000 Pa
0.2500 0.2500 0.2500 Tl
0.7500 0.7500 0.7500 Os

Entry 6:
TmPaOs, optimized geometry, DFT PBE; relative energy among the computed polymorphs = 0 meV/atom; formation energy = -0.0724 eV/atom; space group = F-43m (216); magnetization = 0.1820 μB/atom
1.0
0.0000 3.3579 3.3579
3.3579 0.0000 3.3579
3.3579 3.3579 0.0000
Tm Pa Os
1 1 1
direct
0.0000 0.0000 0.0000 Tm
0.5000 0.5000 0.5000 Pa
0.7500 0.7500 0.7500 Os

Entry 7:
UPaOs, optimized geometry, DFT PBE; relative energy among the computed polymorphs = 0 meV/atom; formation energy = 0.2528 eV/atom; space group = F-43m (216); magnetization = 0.4195 μB/atom
1.0
0.0000 3.2051 3.2051
3.2051 0.0000 3.2051
3.2051 3.2051 0.0000
U Pa Os
1 1 1
direct
0.0000 0.0000 0.0000 U
0.2500 0.2500 0.2500 Pa
0.7500 0.7500 0.7500 Os

Entry 8:
YPaOs, optimized geometry, DFT PBE; formation energy = -0.0060 eV/atom; space group = F-43m (216); magnetization = 0.3556 μB/atom
1.0
0.0000 3.3795 3.3795
3.3795 0.0000 3.3795
3.3795 3.3795 0.0000
Y Pa Os
1 1 1
direct
0.0000 0.0000 0.0000 Y
0.5000 0.5000 0.5000 Pa
0.7500 0.7500 0.7500 Os

Entry 9:
PaZnOs, optimized geometry, DFT PBE; relative energy among the computed polymorphs = 0 meV/atom; formation energy = 0.0071 eV/atom; space group = F-43m (216); magnetization = 0.0097 μB/atom
1.0
0.0000 3.1927 3.1927
3.1927 0.0000 3.1927
3.1927 3.1927 0.0000
Pa Zn Os
1 1 1
direct
0.0000 0.0000 0.0000 Pa
0.5000 0.5000 0.5000 Zn
0.2500 0.2500 0.2500 Os

Entry 10:
PaZnOs, optimized geometry, DFT PBE; relative energy among the computed polymorphs = 597 meV/atom; formation energy = 0.6044 eV/atom; space group = F-43m (216); magnetization = 0.0011 μB/atom
1.0
0.0000 3.2397 3.2397
3.2397 0.0000 3.2397
3.2397 3.2397 0.0000
Pa Zn Os
1 1 1
direct
0.0000 0.0000 0.0000 Pa
0.7500 0.7500 0.7500 Zn
0.2500 0.2500 0.2500 Os

Entry 11:
ZrPaOs, optimized geometry, DFT PBE; relative energy among the computed polymorphs = 0 meV/atom; formation energy = -0.0360 eV/atom; space group = F-43m (216); magnetization = 0.0033 μB/atom
1.0
0.0000 3.2928 3.2928
3.2928 0.0000 3.2928
3.2928 3.2928 0.0000
Zr Pa Os
1 1 1
direct
0.0000 0.0000 0.0000 Zr
0.5000 0.5000 0.5000 Pa
0.7500 0.7500 0.7500 Os

Entry 12:
PmOsPb, optimized geometry, DFT PBE; total energy = -5.864 eV per atom; space group = F-43m (216); magnetization = 0.4339 μB/atom
1.0
0.0000 3.4110 3.4110
3.4110 0.0000 3.4110
3.4110 3.4110 0.0000
Pm Os Pb
1 1 1
direct
0.0000 0.0000 0.0000 Pm
0.5000 0.5000 0.5000 Os
0.7500 0.7500 0.7500 Pb